Below is an optimized crystal structure of Ag2PIr, with properties calculated at the PBE level.

```
Ag2PIr
1.0
-1.9827 3.4900 0.2077
-2.6468 -1.5078 0.0693
-1.0797 -0.9340 5.3884
Ag Ir P
2 1 1
direct
0.0000 0.9419 0.9911 Ag
0.5000 0.3098 0.2547 Ag
0.0000 0.6736 0.5279 Ir
0.5000 0.5747 0.7263 P
```

Output
formation energy = 0.139 eV/atom
Fermi-level density of states = 0.5089 states/eV/atom
total magnetization = 0.00 μB per formula unit
SG = No. 38